First-principles (PBE) data for an optimized crystal structure of SrZnCl2, as listed in Alexandria via LeMat-Bulk.

energy: -3.09 eV/atom
excess energy over the best structure of this formula in the dataset: 0.56 eV per formula unit
E_form (uncorrected): -5.72 eV/f.u.

Unit cell a=5.2496 b=5.2496 c=5.2496 alpha=60.00 beta=60.00 gamma=60.00
Element x y z (fractional)
Sr 0.0000 0.0000 0.0000
Zn 0.5000 0.5000 0.5000
Cl 0.2500 0.2500 0.2500
Cl 0.7500 0.7500 0.7500

First-principles (PBE) data for an optimized crystal structure of SrZnCl2, as listed in Alexandria via LeMat-Bulk.

energy: -3.18 eV/atom
excess energy over the best structure of this formula in the dataset: 0.19 eV per formula unit
E_form (uncorrected): -6.09 eV/f.u.

Unit cell a=9.2091 b=9.2091 c=9.2091 alpha=60.00 beta=60.00 gamma=60.00
Element x y z (fractional)
Sr 0.0000 0.0000 0.0000
Sr 0.0000 0.0000 0.5000
Sr 0.0000 0.5000 0.0000
Sr 0.5000 0.0000 0.0000
Zn 0.0000 0.5000 0.5000
Zn 0.5000 0.0000 0.5000
Zn 0.5000 0.5000 0.0000
Zn 0.5000 0.5000 0.5000
Cl 0.1757 0.7748 0.7748
Cl 0.2252 0.2252 0.2252
Cl 0.2252 0.2252 0.8243
Cl 0.2252 0.8243 0.2252
Cl 0.7748 0.1757 0.7748
Cl 0.7748 0.7748 0.1757
Cl 0.7748 0.7748 0.7748
Cl 0.8243 0.2252 0.2252

First-principles (PBE) data for an optimized crystal structure of SrZnCl2, as listed in Alexandria via LeMat-Bulk.

energy: -3.23 eV/atom
excess energy over the best structure of this formula in the dataset: 0.00 eV per formula unit
E_form (uncorrected): -6.28 eV/f.u.

Unit cell a=4.4337 b=4.4337 c=10.0445 alpha=102.37 beta=102.37 gamma=59.96
Element x y z (fractional)
Sr 0.0000 0.0000 0.0000
Zn 0.5000 0.5000 0.5000
Cl 0.2864 0.2864 0.8550
Cl 0.7136 0.7136 0.1450

First-principles (PBE) data for an optimized crystal structure of SrZnCl3, as listed in Alexandria via LeMat-Bulk.

energy: -2.99 eV/atom
excess energy over the best structure of this formula in the dataset: 0.00 eV per formula unit
E_form (uncorrected): -6.45 eV/f.u.

Unit cell a=5.0795 b=5.0795 c=5.0795 alpha=90.00 beta=90.00 gamma=90.00
Element x y z (fractional)
Sr 0.0000 0.0000 0.0000
Zn 0.5000 0.5000 0.5000
Cl 0.0000 0.5000 0.5000
Cl 0.5000 0.0000 0.5000
Cl 0.5000 0.5000 0.0000

First-principles (PBE) data for an optimized crystal structure of SrZnCl3, as listed in Alexandria via LeMat-Bulk.

energy: -2.93 eV/atom
excess energy over the best structure of this formula in the dataset: 0.30 eV per formula unit
E_form (uncorrected): -6.15 eV/f.u.

Unit cell a=5.6462 b=5.6462 c=5.6462 alpha=90.00 beta=90.00 gamma=90.00
Element x y z (fractional)
Sr 0.0000 0.0000 0.0000
Zn 0.5000 0.5000 0.5000
Cl 0.0000 0.0000 0.5000
Cl 0.0000 0.5000 0.0000
Cl 0.5000 0.0000 0.0000

First-principles (PBE) data for an optimized crystal structure of SrZnCl2, as listed in Alexandria via LeMat-Bulk.

energy: -3.22 eV/atom
excess energy over the best structure of this formula in the dataset: 0.03 eV per formula unit
E_form (uncorrected): -6.25 eV/f.u.

Unit cell a=10.4175 b=10.4175 c=10.4175 alpha=24.22 beta=24.22 gamma=24.22
Element x y z (fractional)
Sr 0.0000 0.0000 0.0000
Zn 0.5000 0.5000 0.5000
Cl 0.3806 0.3806 0.3806
Cl 0.6194 0.6194 0.6194

First-principles (PBE) data for an optimized crystal structure of SrZn4Cl, as listed in Alexandria via LeMat-Bulk.

energy: -1.67 eV/atom
E_form (uncorrected): -1.42 eV/f.u.

Unit cell a=5.7489 b=5.7489 c=5.7489 alpha=60.00 beta=60.00 gamma=60.00
Element x y z (fractional)
Sr 0.0000 0.0000 0.0000
Zn 0.1239 0.6254 0.6254
Zn 0.6254 0.1239 0.6254
Zn 0.6254 0.6254 0.1239
Zn 0.6254 0.6254 0.6254
Cl 0.2500 0.2500 0.2500

First-principles (PBE) data for an optimized crystal structure of SrZnCl, as listed in Alexandria via LeMat-Bulk.

energy: -2.51 eV/atom
excess energy over the best structure of this formula in the dataset: 0.07 eV per formula unit
E_form (uncorrected): -2.72 eV/f.u.

Unit cell a=7.3209 b=7.3175 c=3.8393 alpha=74.84 beta=74.75 gamma=30.41
Element x y z (fractional)
Sr 0.0000 0.0000 0.0000
Zn 0.6461 0.6461 0.3539
Cl 0.3986 0.3986 0.6014

First-principles (PBE) data for an optimized crystal structure of Sr2ZnCl2, as listed in Alexandria via LeMat-Bulk.

energy: -3.01 eV/atom
excess energy over the best structure of this formula in the dataset: 0.00 eV per formula unit
E_form (uncorrected): -6.71 eV/f.u.

Unit cell a=8.0925 b=8.0925 c=8.0925 alpha=145.83 beta=145.83 gamma=49.09
Element x y z (fractional)
Sr 0.1302 0.1302 0.0000
Sr 0.8698 0.8698 0.0000
Zn 0.5000 0.5000 0.0000
Cl 0.2500 0.7500 0.5000
Cl 0.7500 0.2500 0.5000

First-principles (PBE) data for an optimized crystal structure of SrZn2Cl2, as listed in Alexandria via LeMat-Bulk.

energy: -2.25 eV/atom
excess energy over the best structure of this formula in the dataset: 0.11 eV per formula unit
E_form (uncorrected): -3.33 eV/f.u.

Unit cell a=7.8344 b=7.8344 c=4.4669 alpha=90.00 beta=90.00 gamma=90.00
Element x y z (fractional)
Sr 0.0000 0.0000 0.0000
Sr 0.5000 0.5000 0.0000
Zn 0.1111 0.3889 0.0000
Zn 0.3889 0.8889 0.0000
Zn 0.6111 0.1111 0.0000
Zn 0.8889 0.6111 0.0000
Cl 0.1974 0.6974 0.5000
Cl 0.3026 0.1974 0.5000
Cl 0.6974 0.8026 0.5000
Cl 0.8026 0.3026 0.5000

First-principles (PBE) data for an optimized crystal structure of SrZnCl, as listed in Alexandria via LeMat-Bulk.

energy: -2.47 eV/atom
excess energy over the best structure of this formula in the dataset: 0.19 eV per formula unit
E_form (uncorrected): -2.61 eV/f.u.

Unit cell a=5.0097 b=5.0097 c=4.5283 alpha=90.00 beta=90.00 gamma=120.00
Element x y z (fractional)
Sr 0.0000 0.0000 0.0000
Zn 0.6667 0.3333 0.5000
Cl 0.3333 0.6667 0.0000

First-principles (PBE) data for an optimized crystal structure of SrZnCl2, as listed in Alexandria via LeMat-Bulk.

energy: -3.01 eV/atom
excess energy over the best structure of this formula in the dataset: 0.88 eV per formula unit
E_form (uncorrected): -5.40 eV/f.u.

Unit cell a=4.9568 b=4.9568 c=4.1235 alpha=90.00 beta=90.00 gamma=90.00
Element x y z (fractional)
Sr 0.0000 0.0000 0.0000
Zn 0.5000 0.5000 0.0000
Cl 0.0000 0.5000 0.5000
Cl 0.5000 0.0000 0.5000